VASP calculation (PBE) on a relaxed Pd3PtI crystal.

Values from the calculation:
Polymorph energy (0 for the lowest one)   0.0000 eV/atom
SG   Pm-3m
Formation energy without anion corrections   831 meV per atom
Fermi-level density of states   1.955 states/eV/atom
Uncorrected energy   -0.1397 Ha/atom

Cell lengths 4.9540, 4.9540, 4.9540 Å; angles 90.00, 90.00, 90.00 degrees
Positions (direct):
I: 0.5000 0.5000 0.5000
Pd: 0.0000 0.5000 0.0000
Pd: 0.0000 0.0000 0.5000
Pd: 0.5000 0.0000 0.0000
Pt: 0.0000 0.0000 0.0000